The following is a PBE calculation of a relaxed Zr2Ag2Cl crystal, from Alexandria.

## Properties
The uncorrected formation energy comes out at 210 meV per atom. For the density of states at the Fermi level, the calculation gives 8.1 states/eV/cell. Its total DFT energy (no corrections) is -4.72 eV/atom. Its crystal system is tetragonal. Its calculated density is 6.8 Mg/m³. The calculation puts the spin magnetization at 0.000 μB/f.u. The polymorph energy (0 for the lowest one) comes out at 0.429 eV/atom.

a b c (Å): 3.672 3.672 15.719
angles (deg): 90.00 90.00 90.00
Space group I4/mmm (No. 139)
Unique sites:
Zr: 0.000 0.000 0.099 (multiplicity 4)
Ag: 0.000 0.500 0.250 (multiplicity 4)
Cl: 0.000 0.000 0.500 (multiplicity 2)